Entry from the Alexandria database: a relaxed TlFeI2O crystal (GGA+U).

The structure in POSCAR format:
```
TlFeI2O
1.0
6.187 0.000 0.000
0.000 6.187 0.000
0.000 0.000 4.123
Tl Fe I O
1 1 2 1
Direct
0.000 0.000 0.000 Tl
0.500 0.500 0.500 Fe
0.000 0.500 0.000 I
0.500 0.000 0.000 I
0.000 0.000 0.500 O
```

## Properties
Symmetry = P4/mmm
Distance to the lowest polymorph of the same formula = 0.758 eV/atom
D(E_F) = 0.38 states/eV per atom